Below is crystalline HfZnIF2 at its relaxed geometry, with properties calculated at the PBE-GGA level.

Geometry as CIF:
```
data_HfZnIF2
_chemical_formula_sum 'Hf1 Zn1 I1 F2'
_symmetry_space_group_name_H-M 'P 1'
_symmetry_Int_Tables_number 1
_cell_length_a 4.6565
_cell_length_b 4.6565
_cell_length_c 5.4427
_cell_angle_alpha 90.00
_cell_angle_beta 90.00
_cell_angle_gamma 90.00
loop_
_symmetry_equiv_pos_as_xyz
'x,y,z'
loop_
_atom_site_label
_atom_site_type_symbol
_atom_site_fract_x
_atom_site_fract_y
_atom_site_fract_z
I1 I 0.0000 0.0000 0.0000
Hf1 Hf 0.0000 0.0000 0.5000
F1 F 0.5000 0.0000 0.0000
Zn1 Zn 0.5000 0.5000 0.5000
F2 F 0.0000 0.5000 0.0000
```

* energy relative to the elements, uncorrected: -66 kJ/mol of formula units
* relative energy among the computed polymorphs: 67.9 kJ/mol of atoms
* magnetic moment: 0.2 μB per formula unit

Below is crystalline HfZnIF2 at its relaxed geometry, with properties calculated at the PBE-GGA level.

Geometry as CIF:
```
data_HfZnIF2
_chemical_formula_sum 'Hf1 Zn1 I1 F2'
_symmetry_space_group_name_H-M 'P 1'
_symmetry_Int_Tables_number 1
_cell_length_a 4.1362
_cell_length_b 5.7891
_cell_length_c 4.1362
_cell_angle_alpha 90.00
_cell_angle_beta 90.00
_cell_angle_gamma 90.00
loop_
_symmetry_equiv_pos_as_xyz
'x,y,z'
loop_
_atom_site_label
_atom_site_type_symbol
_atom_site_fract_x
_atom_site_fract_y
_atom_site_fract_z
Zn1 Zn 0.0000 0.0000 0.0000
I1 I 0.5000 0.5000 0.5000
F1 F 0.0000 0.0000 0.5000
Hf1 Hf 0.0000 0.5000 0.0000
F2 F 0.5000 0.0000 0.0000
```

* energy relative to the elements, uncorrected: -405 kJ/mol of formula units
* relative energy among the computed polymorphs: 0.0 kJ/mol of atoms
* magnetic moment: 0.0 μB per formula unit

Below is crystalline HfInF3 at its relaxed geometry, with properties calculated at the PBE-GGA level.

Geometry as CIF:
```
data_HfInF3
_chemical_formula_sum 'Hf1 In1 F3'
_symmetry_space_group_name_H-M 'P 1'
_symmetry_Int_Tables_number 1
_cell_length_a 4.3702
_cell_length_b 4.3702
_cell_length_c 4.3702
_cell_angle_alpha 90.00
_cell_angle_beta 90.00
_cell_angle_gamma 90.00
loop_
_symmetry_equiv_pos_as_xyz
'x,y,z'
loop_
_atom_site_label
_atom_site_type_symbol
_atom_site_fract_x
_atom_site_fract_y
_atom_site_fract_z
In1 In 0.5000 0.5000 0.5000
F1 F 0.0000 0.0000 0.5000
Hf1 Hf 0.0000 0.0000 0.0000
F2 F 0.5000 0.0000 0.0000
F3 F 0.0000 0.5000 0.0000
```

* energy relative to the elements, uncorrected: -1031 kJ/mol of formula units
* relative energy among the computed polymorphs: 0.0 kJ/mol of atoms
* magnetic moment: 1.3 μB per formula unit

Below is crystalline HfIn2F6 at its relaxed geometry, with properties calculated at the PBE-GGA level.

Geometry as CIF:
```
data_HfIn2F6
_chemical_formula_sum 'Hf2 In4 F12'
_symmetry_space_group_name_H-M 'P 1'
_symmetry_Int_Tables_number 1
_cell_length_a 6.7859
_cell_length_b 7.8578
_cell_length_c 7.8693
_cell_angle_alpha 90.00
_cell_angle_beta 90.00
_cell_angle_gamma 121.22
loop_
_symmetry_equiv_pos_as_xyz
'x,y,z'
loop_
_atom_site_label
_atom_site_type_symbol
_atom_site_fract_x
_atom_site_fract_y
_atom_site_fract_z
F1 F 0.7256 0.2155 0.9994
F2 F 0.1536 0.4273 0.1793
F3 F 0.2744 0.7845 0.0006
In1 In 0.6952 0.8653 0.9998
F4 F 0.6536 0.9273 0.3207
F5 F 0.2256 0.7155 0.5006
F6 F 0.3464 0.0727 0.6793
In2 In 0.8048 0.6347 0.4998
F7 F 0.3427 0.0726 0.3237
F8 F 0.8464 0.5727 0.8207
In3 In 0.1952 0.3653 0.5002
F9 F 0.8427 0.5726 0.1763
F10 F 0.1573 0.4274 0.8237
Hf1 Hf 0.5000 0.0000 0.5000
Hf2 Hf 0.0000 0.5000 0.0000
In4 In 0.3048 0.1347 0.0002
F11 F 0.6573 0.9274 0.6763
F12 F 0.7744 0.2845 0.4994
```

* energy relative to the elements, uncorrected: -2530 kJ/mol of formula units
* magnetic moment: 0.0 μB per formula unit

Below is crystalline HfInF3 at its relaxed geometry, with properties calculated at the PBE-GGA level.

Geometry as CIF:
```
data_HfInF3
_chemical_formula_sum 'Hf1 In1 F3'
_symmetry_space_group_name_H-M 'P 1'
_symmetry_Int_Tables_number 1
_cell_length_a 4.4706
_cell_length_b 4.4706
_cell_length_c 4.4706
_cell_angle_alpha 90.00
_cell_angle_beta 90.00
_cell_angle_gamma 90.00
loop_
_symmetry_equiv_pos_as_xyz
'x,y,z'
loop_
_atom_site_label
_atom_site_type_symbol
_atom_site_fract_x
_atom_site_fract_y
_atom_site_fract_z
F1 F 0.0000 0.5000 0.0000
F2 F 0.0000 0.0000 0.5000
F3 F 0.5000 0.0000 0.0000
In1 In 0.0000 0.0000 0.0000
Hf1 Hf 0.5000 0.5000 0.5000
```

* energy relative to the elements, uncorrected: -455 kJ/mol of formula units
* relative energy among the computed polymorphs: 115.3 kJ/mol of atoms
* magnetic moment: 0.0 μB per formula unit

Below is crystalline Hf2InF at its relaxed geometry, with properties calculated at the PBE-GGA level.

Geometry as CIF:
```
data_Hf2InF
_chemical_formula_sum 'Hf4 In2 F2'
_symmetry_space_group_name_H-M 'P 1'
_symmetry_Int_Tables_number 1
_cell_length_a 5.1782
_cell_length_b 5.1782
_cell_length_c 7.8019
_cell_angle_alpha 70.62
_cell_angle_beta 70.62
_cell_angle_gamma 90.00
loop_
_symmetry_equiv_pos_as_xyz
'x,y,z'
loop_
_atom_site_label
_atom_site_type_symbol
_atom_site_fract_x
_atom_site_fract_y
_atom_site_fract_z
F1 F 0.2500 0.7500 0.5000
Hf1 Hf 0.4701 0.1250 0.2500
Hf2 Hf 0.8750 0.7201 0.7500
F2 F 0.5000 0.5000 0.0000
Hf3 Hf 0.3750 0.5299 0.7500
In1 In 0.7500 0.2500 0.5000
Hf4 Hf 0.2799 0.6250 0.2500
In2 In 0.0000 0.0000 0.0000
```

* energy relative to the elements, uncorrected: -88 kJ/mol of formula units
* relative energy among the computed polymorphs: 15.6 kJ/mol of atoms
* magnetic moment: 0.0 μB per formula unit

Below is crystalline HfIn3F7 at its relaxed geometry, with properties calculated at the PBE-GGA level.

Geometry as CIF:
```
data_HfIn3F7
_chemical_formula_sum 'Hf1 In3 F7'
_symmetry_space_group_name_H-M 'P 1'
_symmetry_Int_Tables_number 1
_cell_length_a 6.1497
_cell_length_b 6.1497
_cell_length_c 7.0155
_cell_angle_alpha 69.35
_cell_angle_beta 69.35
_cell_angle_gamma 89.15
loop_
_symmetry_equiv_pos_as_xyz
'x,y,z'
loop_
_atom_site_label
_atom_site_type_symbol
_atom_site_fract_x
_atom_site_fract_y
_atom_site_fract_z
F1 F 0.8373 0.8373 0.8514
F2 F 0.2997 0.9642 0.7790
F3 F 0.9642 0.2997 0.7790
F4 F 0.1466 0.1466 0.1258
F5 F 0.5053 0.5053 0.7077
Hf1 Hf 0.9872 0.9872 0.9970
In1 In 0.7316 0.2604 0.5238
F6 F 0.6696 0.0015 0.2043
In2 In 0.2604 0.7316 0.5238
F7 F 0.0015 0.6696 0.2043
In3 In 0.4716 0.4716 0.0539
```

* energy relative to the elements, uncorrected: -2851 kJ/mol of formula units
* magnetic moment: 0.0 μB per formula unit

Below is crystalline HfInF5 at its relaxed geometry, with properties calculated at the PBE-GGA level.

Geometry as CIF:
```
data_HfInF5
_chemical_formula_sum 'Hf1 In1 F5'
_symmetry_space_group_name_H-M 'P 1'
_symmetry_Int_Tables_number 1
_cell_length_a 4.1807
_cell_length_b 6.6444
_cell_length_c 6.1898
_cell_angle_alpha 122.46
_cell_angle_beta 109.73
_cell_angle_gamma 90.00
loop_
_symmetry_equiv_pos_as_xyz
'x,y,z'
loop_
_atom_site_label
_atom_site_type_symbol
_atom_site_fract_x
_atom_site_fract_y
_atom_site_fract_z
In1 In 0.5000 0.5000 0.0000
F1 F 0.8604 0.0801 0.7207
F2 F 0.5000 0.0000 0.0000
F3 F 0.8604 0.6406 0.7207
F4 F 0.1396 0.9199 0.2793
F5 F 0.1396 0.3594 0.2793
Hf1 Hf 0.0000 0.0000 0.0000
```

* energy relative to the elements, uncorrected: -2124 kJ/mol of formula units
* magnetic moment: 0.0 μB per formula unit

Below is crystalline Hf2InF at its relaxed geometry, with properties calculated at the PBE-GGA level.

Geometry as CIF:
```
data_Hf2InF
_chemical_formula_sum 'Hf2 In1 F1'
_symmetry_space_group_name_H-M 'P 1'
_symmetry_Int_Tables_number 1
_cell_length_a 4.7811
_cell_length_b 4.7811
_cell_length_c 4.7811
_cell_angle_alpha 60.00
_cell_angle_beta 60.00
_cell_angle_gamma 60.00
loop_
_symmetry_equiv_pos_as_xyz
'x,y,z'
loop_
_atom_site_label
_atom_site_type_symbol
_atom_site_fract_x
_atom_site_fract_y
_atom_site_fract_z
Hf1 Hf 0.2500 0.2500 0.2500
Hf2 Hf 0.7500 0.7500 0.7500
F1 F 0.0000 0.0000 0.0000
In1 In 0.5000 0.5000 0.5000
```

* energy relative to the elements, uncorrected: -150 kJ/mol of formula units
* relative energy among the computed polymorphs: 0.0 kJ/mol of atoms
* magnetic moment: 0.0 μB per formula unit

Below is crystalline KHfIn2F8 at its relaxed geometry, with properties calculated at the PBE-GGA level.

Geometry as CIF:
```
data_KHfIn2F8
_chemical_formula_sum 'K1 Hf1 In2 F8'
_symmetry_space_group_name_H-M 'P 1'
_symmetry_Int_Tables_number 1
_cell_length_a 5.3692
_cell_length_b 5.8820
_cell_length_c 6.9944
_cell_angle_alpha 92.48
_cell_angle_beta 88.77
_cell_angle_gamma 87.61
loop_
_symmetry_equiv_pos_as_xyz
'x,y,z'
loop_
_atom_site_label
_atom_site_type_symbol
_atom_site_fract_x
_atom_site_fract_y
_atom_site_fract_z
K1 K 0.0000 0.0000 0.5000
F1 F 0.7027 0.0250 0.8351
F2 F 0.2973 0.9750 0.1649
In1 In 0.5145 0.5128 0.2328
F3 F 0.1309 0.2556 0.8518
F4 F 0.8424 0.2251 0.2007
F5 F 0.1576 0.7749 0.7993
In2 In 0.4855 0.4872 0.7672
F6 F 0.3586 0.3303 0.4931
Hf1 Hf 0.0000 0.0000 0.0000
F7 F 0.8691 0.7444 0.1482
F8 F 0.6414 0.6697 0.5069
```

* energy relative to the elements, uncorrected: -3326 kJ/mol of formula units
* magnetic moment: 0.0 μB per formula unit

Below is crystalline KHfInF2 at its relaxed geometry, with properties calculated at the PBE-GGA level.

Geometry as CIF:
```
data_KHfInF2
_chemical_formula_sum 'K1 Hf1 In1 F2'
_symmetry_space_group_name_H-M 'P 1'
_symmetry_Int_Tables_number 1
_cell_length_a 4.5643
_cell_length_b 6.0566
_cell_length_c 4.5643
_cell_angle_alpha 90.00
_cell_angle_beta 90.00
_cell_angle_gamma 90.00
loop_
_symmetry_equiv_pos_as_xyz
'x,y,z'
loop_
_atom_site_label
_atom_site_type_symbol
_atom_site_fract_x
_atom_site_fract_y
_atom_site_fract_z
F1 F 0.0000 0.0000 0.5000
K1 K 0.0000 0.0000 0.0000
Hf1 Hf 0.0000 0.5000 0.0000
In1 In 0.5000 0.5000 0.5000
F2 F 0.5000 0.0000 0.0000
```

* energy relative to the elements, uncorrected: -187 kJ/mol of formula units
* magnetic moment: 0.9 μB per formula unit